Compound: LaAsP2O
Source: Alexandria via LeMat-Bulk
Functional: SCAN
Structure: single point on PBEsol structure

Cell lengths 5.491, 5.491, 4.100 Å; angles 90.00, 90.00, 90.00 degrees
Space group P4/mmm (No. 123)
Symmetry-distinct sites (fractional):
La1 0.000 0.000 0.000 [1 per cell]
As1 0.500 0.500 0.500 [1 per cell]
P1 0.000 0.500 0.000 [2 per cell]
O1 0.000 0.000 0.500 [1 per cell]

Calculated values
The calculation puts the spin magnetization at 0.824 Bohr magnetons per cell. The calculation puts the total DFT energy (no corrections) at -0.6546 hartree per atom.